VASP calculation (PBE) on a relaxed structure of HgTeOs.

a b c (Å): 7.0489 7.0489 7.0489
angles (deg): 154.05 154.05 37.02
Element x y z (fractional)
Hg (0.0000, 0.0000, 0.0000)
Te (0.7334, 0.7334, 0.0000)
Os (0.3425, 0.3425, 0.0000)

volume = 67 Å³/f.u.
excess energy over the best structure of this formula in the dataset = 0.0 meV/atom
crystal system = tetragonal
space group = I4mm (107)


VASP calculation (PBE) on a relaxed structure of HgTeOs2.

a b c (Å): 8.6990 8.6990 8.6990
angles (deg): 20.70 20.70 20.70
Element x y z (fractional)
Hg (0.0000, 0.0000, 0.0000)
Te (0.5000, 0.5000, 0.5000)
Os (0.2432, 0.2432, 0.2432)
Os (0.7568, 0.7568, 0.7568)

volume = 72 Å³/f.u.
excess energy over the best structure of this formula in the dataset = 423.7 meV/atom
crystal system = trigonal
space group = R-3m (166)


VASP calculation (PBE) on a relaxed structure of Hg2TeOs.

a b c (Å): 4.1227 4.1227 4.9168
angles (deg): 90.00 90.00 90.00
Element x y z (fractional)
Hg (0.0000, 0.5000, 0.0000)
Hg (0.5000, 0.0000, 0.0000)
Te (0.0000, 0.0000, 0.5000)
Os (0.5000, 0.5000, 0.5000)

volume = 84 Å³/f.u.
crystal system = tetragonal
space group = P4/mmm (123)
VASP energy = -11.17 eV for the cell shown


VASP calculation (PBE) on a relaxed structure of HgTe2Os.

a b c (Å): 5.1329 5.1329 3.5056
angles (deg): 90.00 90.00 107.68
Element x y z (fractional)
Hg (0.0000, 0.0000, 0.0000)
Te (0.0000, 0.5000, 0.5000)
Te (0.5000, 0.0000, 0.5000)
Os (0.5000, 0.5000, 0.0000)

volume = 88 Å³/f.u.
crystal system = orthorhombic
space group = Cmmm (65)
VASP energy = -14.33 eV for the cell shown


VASP calculation (PBE) on a relaxed structure of HgTe2Os.

a b c (Å): 3.2227 3.2227 9.8852
angles (deg): 90.00 90.00 90.00
Element x y z (fractional)
Hg (0.0000, 0.0000, 0.0000)
Te (0.5000, 0.5000, 0.3280)
Te (0.5000, 0.5000, 0.6720)
Os (0.0000, 0.0000, 0.5000)

volume = 103 Å³/f.u.
crystal system = tetragonal
space group = P4/mmm (123)
VASP energy = -16.38 eV for the cell shown


VASP calculation (PBE) on a relaxed structure of Hg2TeOs.

a b c (Å): 3.0381 3.0381 10.2941
angles (deg): 90.00 90.00 90.00
Element x y z (fractional)
Hg (0.0000, 0.0000, 0.1857)
Hg (0.0000, 0.0000, 0.8143)
Te (0.5000, 0.5000, 0.5000)
Os (0.5000, 0.5000, 0.0000)

volume = 95 Å³/f.u.
crystal system = tetragonal
space group = P4/mmm (123)
VASP energy = -11.70 eV for the cell shown


VASP calculation (PBE) on a relaxed structure of Hg2TeOs.

a b c (Å): 3.1703 3.1703 9.4134
angles (deg): 90.00 90.00 90.00
Element x y z (fractional)
Hg (0.0000, 0.0000, 0.0000)
Hg (0.5000, 0.5000, 0.2750)
Te (0.5000, 0.5000, 0.6529)
Os (0.0000, 0.0000, 0.4992)

volume = 95 Å³/f.u.
crystal system = tetragonal
space group = P4mm (99)
VASP energy = -13.49 eV for the cell shown


VASP calculation (PBE) on a relaxed structure of Hg2TeOs.

a b c (Å): 5.2285 5.2285 5.2285
angles (deg): 129.45 129.45 74.28
Element x y z (fractional)
Hg (0.0000, 0.0000, 0.0000)
Hg (0.7500, 0.2500, 0.5000)
Te (0.5000, 0.5000, 0.0000)
Os (0.2500, 0.7500, 0.5000)

volume = 83 Å³/f.u.
crystal system = tetragonal
space group = I-4m2 (119)
VASP energy = -11.31 eV for the cell shown


VASP calculation (PBE) on a relaxed structure of HgTe2Os.

a b c (Å): 10.4747 10.4747 10.4747
angles (deg): 162.72 160.53 26.15
Element x y z (fractional)
Hg (0.0000, 0.0000, 0.0000)
Te (0.6601, 0.6601, 0.0000)
Te (0.8247, 0.3247, 0.5000)
Os (0.2557, 0.7557, 0.5000)

volume = 114 Å³/f.u.
crystal system = orthorhombic
space group = Imm2 (44)
VASP energy = -16.94 eV for the cell shown


VASP calculation (PBE) on a relaxed structure of HgTe2Os.

a b c (Å): 5.4359 5.4359 5.4359
angles (deg): 131.57 131.57 70.91
Element x y z (fractional)
Hg (0.0000, 0.0000, 0.0000)
Te (0.5000, 0.5000, 0.0000)
Te (0.7500, 0.2500, 0.5000)
Os (0.2500, 0.7500, 0.5000)

volume = 88 Å³/f.u.
crystal system = tetragonal
space group = I-4m2 (119)
VASP energy = -13.77 eV for the cell shown


VASP calculation (PBE) on a relaxed structure of Hg2TeOs.

a b c (Å): 6.0599 6.0599 3.6435
angles (deg): 107.46 107.46 123.45
Element x y z (fractional)
Hg (0.0000, 0.5000, 0.0000)
Hg (0.5000, 0.0000, 0.0000)
Te (0.0000, 0.0000, 0.0000)
Os (0.5000, 0.5000, 0.0000)

volume = 86 Å³/f.u.
crystal system = monoclinic
space group = C2/m (12)
VASP energy = -11.70 eV for the cell shown


VASP calculation (PBE) on a relaxed structure of HgTeOs2.

a b c (Å): 3.1135 4.2762 5.6367
angles (deg): 90.00 103.21 90.00
Element x y z (fractional)
Hg (0.0000, 0.0000, 0.0000)
Te (0.5000, 0.0000, 0.5000)
Os (0.3627, 0.5000, 0.7363)
Os (0.6373, 0.5000, 0.2637)

volume = 73 Å³/f.u.
excess energy over the best structure of this formula in the dataset = 609.6 meV/atom
crystal system = monoclinic
space group = P2/m (10)


- volume of number 1 (HgTeOs)?
  67 Å³/f.u.


- Among the records above, which one has the lowest volume?
  HgTeOs